Compound: Dy5Hg2Rh
Source: Alexandria via LeMat-Bulk
Functional: PBE-GGA
Structure: optimized geometry

Structure (POSCAR):
```
Dy5Hg2Rh
1.0
7.132 0.000 0.000
0.000 12.016 0.000
0.000 0.000 4.911
Dy Hg Rh
10 4 2
Direct
0.000 0.000 0.000
0.142 0.293 0.000
0.175 0.586 0.500
0.325 0.086 0.500
0.358 0.793 0.000
0.500 0.500 0.000
0.642 0.207 0.000
0.675 0.914 0.500
0.825 0.414 0.500
0.858 0.707 0.000
0.084 0.840 0.500
0.416 0.340 0.500
0.584 0.660 0.500
0.916 0.160 0.500
0.000 0.500 0.000
0.500 0.000 0.000
```

* formation enthalpy at 0 K: -501 meV/atom
* space group: Pbam
* magnetization: 0.0 μB per formula unit
* final energy: -4.3712 eV per atom